Entry 1:
VASP calculation (GGA-PBE) on a geometry-optimized Np4As structure.

a b c (Å): 5.3717 5.3717 5.3717
angles (deg): 90.00 90.00 90.00
With the nearest neighbours (Å) after each atom.
Fractional positions:
Np1 0.0000 0.0000 0.0000  12 Np 3.80
Np2 0.0000 0.5000 0.5000  2 As 2.69
Np3 0.5000 0.0000 0.5000  2 As 2.69
Np4 0.5000 0.5000 0.0000  2 As 2.69
As1 0.5000 0.5000 0.5000  6 Np 2.69

Mass density   10.96 Mg/m³
Density of states at the Fermi level   6.8646 states/eV/atom

---

Entry 2:
VASP calculation (GGA-PBE) on a geometry-optimized Ho5ErTl2In structure.

a b c (Å): 10.6176 10.6176 10.6176
angles (deg): 137.85 137.85 61.13
With the nearest neighbours (Å) after each atom.
Fractional positions:
Ho1 0.0000 0.0000 0.0000  4 Tl 3.00
Ho2 0.0775 0.5775 0.9218  1 Tl 3.00, 1 Er 3.12
Ho3 0.1556 0.0775 0.5000  1 Tl 3.00, 1 Er 3.12
Ho4 0.3444 0.8444 0.9218  1 Tl 3.00, 1 Er 3.12
Ho5 0.4225 0.3444 0.5000  1 Tl 3.00, 1 Er 3.12
Ho6 0.5000 0.5000 0.0000  4 Tl 3.00
Ho7 0.5775 0.6556 0.5000  1 Tl 3.00, 1 Er 3.12
Ho8 0.6556 0.1556 0.0782  1 Tl 3.00, 1 Er 3.12
Ho9 0.8444 0.9225 0.5000  1 Tl 3.00, 1 Er 3.12
Ho10 0.9225 0.4225 0.0782  1 Tl 3.00, 1 Er 3.12
Er1 0.2500 0.7500 0.5000  4 Ho 3.12
Er2 0.7500 0.2500 0.5000  4 Ho 3.12
Tl1 0.1278 0.3722 0.5000  1 Tl 2.76, 4 Ho 3.00
Tl2 0.3722 0.8722 0.2444  1 Tl 2.76, 4 Ho 3.00
Tl3 0.6278 0.1278 0.7556  1 Tl 2.76, 4 Ho 3.00
Tl4 0.8722 0.6278 0.5000  1 Tl 2.76, 4 Ho 3.00
In1 0.2500 0.2500 0.0000  8 Ho 3.47, 4 Er 3.82
In2 0.7500 0.7500 0.0000  8 Ho 3.47, 4 Er 3.82

Mass density   9.44 Mg/m³
Density of states at the Fermi level   1.0534 states/eV/atom

---

Entry 3:
VASP calculation (GGA-PBE) on a geometry-optimized Pa2MnTl structure.

a b c (Å): 3.1274 3.1274 8.8850
angles (deg): 90.00 90.00 90.00
With the nearest neighbours (Å) after each atom.
Fractional positions:
Pa1 0.0000 0.0000 0.1997  4 Mn 2.84, 4 Pa 3.13
Pa2 0.0000 0.0000 0.8003  4 Mn 2.84, 4 Pa 3.13
Mn1 0.5000 0.5000 0.0000  8 Pa 2.84, 4 Mn 3.13
Tl1 0.5000 0.5000 0.5000  4 Tl 3.13, 8 Pa 3.47

Mass density   13.78 Mg/m³
ΔE to the lowest computed polymorph   0.000 eV per atom
Density of states at the Fermi level   0.7323 states/eV/atom

---

Entry 4:
VASP calculation (GGA-PBE) on a geometry-optimized Sr3LiY structure.

a b c (Å): 6.6732 6.6732 6.6732
angles (deg): 90.00 90.00 90.00
With the nearest neighbours (Å) after each atom.
Fractional positions:
Sr1 0.0000 0.0000 0.5000  2 Y 3.34
Sr2 0.0000 0.5000 0.0000  2 Y 3.34
Sr3 0.5000 0.0000 0.0000  2 Y 3.34
Li1 0.5000 0.5000 0.5000  12 Sr 4.72
Y1 0.0000 0.0000 0.0000  6 Sr 3.34

Mass density   2.00 Mg/m³
ΔE to the lowest computed polymorph   0.302 eV per atom
Density of states at the Fermi level   0.9402 states/eV/atom

---

Entry 5:
VASP calculation (GGA-PBE) on a geometry-optimized Hf8Al2In structure.

a b c (Å): 7.6376 7.6376 5.1525
angles (deg): 102.18 102.18 118.51
With the nearest neighbours (Å) after each atom.
Fractional positions:
Hf1 0.0887 0.3242 0.6370  2 Al 2.85-2.87, 5 Hf 2.94-3.13
Hf2 0.2248 0.7752 0.0000  2 Al 2.79, 1 In 2.95, 2 Hf 3.08
Hf3 0.3242 0.0887 0.6370  2 Al 2.85-2.87, 5 Hf 2.94-3.13
Hf4 0.4157 0.4157 0.2057  2 Hf 2.76-2.92, 2 Al 2.90, 1 In 2.97
Hf5 0.5843 0.5843 0.7943  2 Hf 2.76-2.92, 2 Al 2.90, 1 In 2.97
Hf6 0.6758 0.9113 0.3630  2 Al 2.85-2.87, 5 Hf 2.94-3.13
Hf7 0.7752 0.2248 0.0000  2 Al 2.79, 1 In 2.95, 2 Hf 3.08
Hf8 0.9113 0.6758 0.3630  2 Al 2.85-2.87, 5 Hf 2.94-3.13
Al1 0.3057 0.6943 0.5000  8 Hf 2.79-2.90
Al2 0.6943 0.3057 0.5000  8 Hf 2.79-2.90
In1 0.0000 0.0000 0.0000  4 Hf 2.95-2.97

Mass density   11.02 Mg/m³
Density of states at the Fermi level   1.0321 states/eV/atom

---

Entry 6:
VASP calculation (GGA-PBE) on a geometry-optimized AgIrBr structure.

a b c (Å): 3.0951 3.0951 6.7064
angles (deg): 90.00 90.00 120.00
With the nearest neighbours (Å) after each atom.
Fractional positions:
Ag1 0.0000 0.0000 0.0000  3 Ir 2.81, 6 Ag 3.10, 3 Br 3.12
Ir1 0.3333 0.6667 0.6757  3 Br 2.66, 3 Ag 2.81
Br1 0.6667 0.3333 0.3811  3 Ir 2.66

Mass density   11.34 Mg/m³
ΔE to the lowest computed polymorph   0.003 eV per atom
Formation energy without anion corrections   0.725 eV/atom
Density of states at the Fermi level   0.9191 states/eV/atom

---

Entry 7:
VASP calculation (GGA-PBE) on a geometry-optimized ScIn4Ir structure.

a b c (Å): 5.7586 5.7586 5.7586
angles (deg): 60.00 60.00 60.00
With the nearest neighbours (Å) after each atom.
Fractional positions:
Sc1 0.0000 0.0000 0.0000  12 In 3.38, 4 Ir 3.53
In1 0.1251 0.6250 0.6250  6 In 2.88
In2 0.6250 0.1251 0.6250  6 In 2.88
In3 0.6250 0.6250 0.1251  6 In 2.88
In4 0.6250 0.6250 0.6250  6 In 2.88
Ir1 0.2500 0.2500 0.2500  12 In 3.38, 4 Sc 3.53

Mass density   8.56 Mg/m³
Density of states at the Fermi level   1.0433 states/eV/atom

---

Entry 8:
VASP calculation (GGA-PBE) on a geometry-optimized LiSbRu2Rh structure.

a b c (Å): 4.7514 4.7514 4.9789
angles (deg): 90.00 90.00 90.00
With the nearest neighbours (Å) after each atom.
Fractional positions:
Li1 0.0000 0.0000 0.0000  4 Sb 3.36, 8 Ru 3.44
Sb1 0.5000 0.5000 0.0000  2 Rh 2.49
Ru1 0.0000 0.5000 0.5000  2 Rh 2.38
Ru2 0.5000 0.0000 0.5000  2 Rh 2.38
Rh1 0.5000 0.5000 0.5000  4 Ru 2.38, 2 Sb 2.49

Mass density   6.41 Mg/m³
Formation energy without anion corrections   1.201 eV/atom
Density of states at the Fermi level   1.6360 states/eV/atom

---

Entry 9:
VASP calculation (GGA-PBE) on a geometry-optimized V2CrCu2 structure.

a b c (Å): 7.1937 7.1937 2.5268
angles (deg): 90.00 90.00 90.00
With the nearest neighbours (Å) after each atom.
Fractional positions:
V1 0.1183 0.3817 0.0000  3 V 2.41-2.53, 6 Cu 2.42-2.52
V2 0.3817 0.8817 0.0000  3 V 2.41-2.53, 6 Cu 2.42-2.52
V3 0.6183 0.1183 0.0000  3 V 2.41-2.53, 6 Cu 2.42-2.52
V4 0.8817 0.6183 0.0000  3 V 2.41-2.53, 6 Cu 2.42-2.52
Cr1 0.0000 0.0000 0.0000  2 Cr 2.53
Cr2 0.5000 0.5000 0.0000  2 Cr 2.53
Cu1 0.1785 0.6785 0.5000  6 V 2.42-2.52, 2 Cu 2.53
Cu2 0.3215 0.1785 0.5000  6 V 2.42-2.52, 2 Cu 2.53
Cu3 0.6785 0.8215 0.5000  6 V 2.42-2.52, 2 Cu 2.53
Cu4 0.8215 0.3215 0.5000  6 V 2.42-2.52, 2 Cu 2.53

Mass density   7.14 Mg/m³
ΔE to the lowest computed polymorph   0.072 eV per atom
Density of states at the Fermi level   0.8442 states/eV/atom

---

Entry 10:
VASP calculation (GGA-PBE) on a geometry-optimized ScSiBRu2 structure.

a b c (Å): 5.9372 5.9372 7.1165
angles (deg): 90.00 90.00 143.80
With the nearest neighbours (Å) after each atom.
Fractional positions:
Sc1 0.0433 0.9567 0.7500  4 B 2.61
Sc2 0.9567 0.0433 0.2500  4 B 2.61
Si1 0.2353 0.7647 0.2500  6 Ru 2.43-2.45
Si2 0.7647 0.2353 0.7500  6 Ru 2.43-2.45
B1 0.5000 0.5000 0.0000  2 Ru 1.92
B2 0.5000 0.5000 0.5000  2 Ru 1.92
Ru1 0.3336 0.6664 0.5573  1 B 1.92
Ru2 0.3336 0.6664 0.9427  1 B 1.92
Ru3 0.6664 0.3336 0.0573  1 B 1.92
Ru4 0.6664 0.3336 0.4427  1 B 1.92

Mass density   6.41 Mg/m³
Formation energy without anion corrections   -0.537 eV/atom
Density of states at the Fermi level   0.9513 states/eV/atom

---

Entry 11:
VASP calculation (GGA-PBE) on a geometry-optimized Ti3MnRh6 structure.

a b c (Å): 7.4298 4.4146 9.6120
angles (deg): 90.00 112.25 90.00
With the nearest neighbours (Å) after each atom.
Fractional positions:
Ti1 0.0280 0.2500 0.3766  9 Rh 2.60-2.84
Ti2 0.1369 0.7500 0.2099  7 Rh 2.54-2.66
Ti3 0.2897 0.2500 0.9833  11 Rh 2.63-2.95
Ti4 0.7103 0.7500 0.0167  11 Rh 2.63-2.95
Ti5 0.8631 0.2500 0.7901  7 Rh 2.54-2.66
Ti6 0.9720 0.7500 0.6234  9 Rh 2.60-2.84
Mn1 0.4562 0.2500 0.5753  8 Rh 2.58-2.69, 2 Mn 2.85
Mn2 0.5438 0.7500 0.4247  8 Rh 2.58-2.69, 2 Mn 2.85
Rh1 0.0408 0.7500 0.9184  6 Ti 2.62-2.79, 5 Rh 2.72-2.90
Rh2 0.1711 0.2500 0.6727  5 Ti 2.60-2.91, 1 Mn 2.62, 6 Rh 2.70-2.89
Rh3 0.2394 0.7500 0.5057  4 Ti 2.63-2.72, 3 Mn 2.66, 5 Rh 2.88-2.94
Rh4 0.3450 0.7500 0.8271  4 Ti 2.63-2.79, 8 Rh 2.70-2.89
Rh5 0.3514 0.2500 0.2872  3 Mn 2.58-2.69, 4 Ti 2.66-2.84, 4 Rh 2.82-2.86
Rh6 0.4300 0.7500 0.1357  4 Ti 2.54-2.73, 1 Mn 2.58, 6 Rh 2.71-2.84
Rh7 0.5700 0.2500 0.8643  4 Ti 2.54-2.73, 1 Mn 2.58, 6 Rh 2.71-2.84
Rh8 0.6486 0.7500 0.7128  3 Mn 2.58-2.69, 4 Ti 2.66-2.84, 4 Rh 2.82-2.86
Rh9 0.6550 0.2500 0.1729  4 Ti 2.63-2.79, 8 Rh 2.70-2.89
Rh10 0.7606 0.2500 0.4943  4 Ti 2.63-2.72, 3 Mn 2.66, 5 Rh 2.88-2.94
Rh11 0.8289 0.7500 0.3273  5 Ti 2.60-2.91, 1 Mn 2.62, 6 Rh 2.70-2.89
Rh12 0.9592 0.2500 0.0816  6 Ti 2.62-2.79, 5 Rh 2.72-2.90

Mass density   9.29 Mg/m³
Density of states at the Fermi level   0.7063 states/eV/atom

---

Entry 12:
VASP calculation (GGA-PBE) on a geometry-optimized TaFe2Te structure.

a b c (Å): 8.9363 3.4359 4.0660
angles (deg): 90.00 105.30 90.00
With the nearest neighbours (Å) after each atom.
Fractional positions:
Ta1 0.0000 0.0000 0.0000  7 Fe 2.58-2.67, 1 Te 2.89
Ta2 0.5000 0.5000 0.0000  7 Fe 2.58-2.67, 1 Te 2.89
Fe1 0.0044 0.5000 0.5065  3 Te 2.55-2.66, 4 Ta 2.65-2.67, 2 Fe 2.79-2.86
Fe2 0.2313 0.5000 0.1265  3 Ta 2.58-2.63, 4 Te 2.65-2.68, 2 Fe 2.79-2.86
Fe3 0.5044 0.0000 0.5065  3 Te 2.55-2.66, 4 Ta 2.65-2.67, 2 Fe 2.79-2.86
Fe4 0.7313 0.0000 0.1265  3 Ta 2.58-2.63, 4 Te 2.65-2.68, 2 Fe 2.79-2.86
Te1 0.2398 0.0000 0.6364  7 Fe 2.55-2.68
Te2 0.7398 0.5000 0.6364  7 Fe 2.55-2.68

Mass density   11.59 Mg/m³
Formation energy without anion corrections   0.275 eV/atom
Density of states at the Fermi level   0.5968 states/eV/atom

---

Result set for E_tot: -51.212 -69.899 -30.552 -9.810 -89.857 -11.209 -23.743 -25.935 -67.121 -79.338 -165.925 -61.635 eV/cell, one per record in the order listed.